1.
DFT (GGA-PBE) results for a geometry-optimized TlP3O structure.

Results
Fermi-level density of states in states/eV per cell: 3.07
Volume in Å³ per cell: 83.27
Space-group type: No. 221
Excess energy over the best structure of this formula in the dataset in kJ/mol of formula units: 0
Total DFT energy (no corrections) in eV per atom: -4.037

a = 4.3668 Å, b = 4.3668 Å, c = 4.3668 Å
α = 90.00°, β = 90.00°, γ = 90.00°
Element x y z (fractional)
Tl 0.0000 0.0000 0.0000
P 0.0000 0.5000 0.5000
P 0.5000 0.0000 0.5000
P 0.5000 0.5000 0.0000
O 0.5000 0.5000 0.5000

=====

2.
DFT (GGA-PBE) results for a geometry-optimized Pm2EuAs structure.

Results
Fermi-level density of states in states/eV per cell: 5.39
Volume in Å³ per cell: 122.86
Space-group type: No. 123
ΔE_f in meV per atom: -514.0
Excess energy over the best structure of this formula in the dataset in kJ/mol of formula units: 47
Total DFT energy (no corrections) in eV per atom: -6.620

a = 3.8115 Å, b = 3.8115 Å, c = 8.4571 Å
α = 90.00°, β = 90.00°, γ = 90.00°
Element x y z (fractional)
Pm 0.0000 0.0000 0.1888
Pm 0.0000 0.0000 0.8112
Eu 0.5000 0.5000 0.5000
As 0.5000 0.5000 0.0000

=====

3.
DFT (GGA-PBE) results for a geometry-optimized ReAuCl2 structure.

Results
Fermi-level density of states in states/eV per cell: 3.41
Volume in Å³ per cell: 83.59
Space-group type: No. 123
Excess energy over the best structure of this formula in the dataset in kJ/mol of formula units: 252
Total DFT energy (no corrections) in eV per atom: -4.083

a = 2.9692 Å, b = 2.9692 Å, c = 9.4821 Å
α = 90.00°, β = 90.00°, γ = 90.00°
Element x y z (fractional)
Re 0.0000 0.0000 0.0000
Au 0.0000 0.0000 0.5000
Cl 0.5000 0.5000 0.1576
Cl 0.5000 0.5000 0.8424

=====

4.
DFT (GGA-PBE) results for a geometry-optimized K2YSe structure.

Results
Fermi-level density of states in states/eV per cell: 3.13
Volume in Å³ per cell: 171.70
Space-group type: No. 8
Total DFT energy (no corrections) in eV per atom: -3.691

a = 4.1476 Å, b = 4.1476 Å, c = 11.7413 Å
α = 99.49°, β = 99.49°, γ = 59.99°
Element x y z (fractional)
K 0.0000 0.0000 0.0000
K 0.1953 0.1953 0.6394
Y 0.7597 0.7597 0.3101
Se 0.4678 0.4678 0.4435

=====

5.
DFT (GGA-PBE) results for a geometry-optimized Sc3Si2Ir structure.

Results
Fermi-level density of states in states/eV per cell: 12.02
Volume in Å³ per cell: 440.70
Space-group type: No. 62
Total DFT energy (no corrections) in eV per atom: -7.296

a = 10.8323 Å, b = 4.2067 Å, c = 9.6713 Å
α = 90.00°, β = 90.00°, γ = 90.00°
Element x y z (fractional)
Sc 0.0464 0.2500 0.1362
Sc 0.1540 0.7500 0.5928
Sc 0.2273 0.2500 0.8159
Sc 0.2727 0.7500 0.3159
Sc 0.3460 0.2500 0.0928
Sc 0.4536 0.7500 0.6362
Sc 0.5464 0.2500 0.3638
Sc 0.6540 0.7500 0.9072
Sc 0.7273 0.2500 0.6841
Sc 0.7727 0.7500 0.1841
Sc 0.8460 0.2500 0.4072
Sc 0.9536 0.7500 0.8638
Si 0.0038 0.7500 0.3468
Si 0.1780 0.7500 0.0158
Si 0.3220 0.2500 0.5158
Si 0.4962 0.2500 0.8468
Si 0.5038 0.7500 0.1532
Si 0.6780 0.7500 0.4842
Si 0.8220 0.2500 0.9842
Si 0.9962 0.2500 0.6532
Ir 0.1193 0.2500 0.3989
Ir 0.3807 0.7500 0.8989
Ir 0.6193 0.2500 0.1011
Ir 0.8807 0.7500 0.6011

=====

> Number 5 is which compound?

Sc3Si2Ir